Record 1
Entry from Alexandria: crystalline Mg2ReMo at its relaxed geometry (PBE).

## Properties
energy of formation from the pure elements = 0.302 eV per atom
energy relative to the lowest polymorph listed for this composition = 0.1797 eV/atom

Lattice parameters (Å, degrees): 5.3861 5.4243 2.6954 75.36 82.94 116.12
Last column: nearest neighbours and their distance in Å.
Positions (direct):
Re: 0.5000 0.0000 0.5000  2 Re 2.70, 2 Mo 2.71, 4 Mg 2.86
Mg: 0.0000 0.0000 0.0000  4 Mg 2.70-2.71, 2 Mo 2.86, 2 Re 2.86
Mo: 0.5000 0.5000 0.0000  2 Mo 2.70, 2 Re 2.71, 4 Mg 2.86
Mg: 0.0000 0.5000 0.5000  4 Mg 2.70-2.71, 2 Re 2.86, 2 Mo 2.86

---

Record 2
Entry from Alexandria: crystalline Ta2PdF at its relaxed geometry (PBE).

## Properties
energy relative to the lowest polymorph listed for this composition = 0.3545 eV/atom
E_form (uncorrected) = 0.10 eV/atom

Lattice parameters (Å, degrees): 4.4662 4.4662 7.8922 73.56 73.56 90.00
Last column: nearest neighbours and their distance in Å.
Positions (direct):
Pd: 0.7500 0.2500 0.5000  4 Ta 2.55
Ta: 0.5578 0.1250 0.2500  2 F 2.28
F: 0.2500 0.7500 0.5000  4 Ta 2.28
F: 0.5000 0.5000 0.0000  4 Ta 2.28
Ta: 0.8750 0.8078 0.7500  2 F 2.28
Ta: 0.1922 0.6250 0.2500  2 F 2.28
Pd: 0.0000 0.0000 0.0000  4 Ta 2.55
Ta: 0.3750 0.4422 0.7500  2 F 2.28

---

Record 3
Entry from Alexandria: crystalline GaNiPt3 at its relaxed geometry (PBE).

## Properties
energy of formation from the pure elements = -0.370 eV per atom
energy relative to the lowest polymorph listed for this composition = 0.0000 eV/atom

Lattice parameters (Å, degrees): 3.9763 3.9734 9.3688 90.00 77.75 90.00
Last column: nearest neighbours and their distance in Å.
Positions (direct):
Ni: 0.6719 0.7500 0.3046  8 Pt 2.63-2.68, 4 Ga 2.81
Ga: 0.4752 0.7500 0.6980  8 Pt 2.62-2.70, 4 Ni 2.81
Pt: 0.8796 0.7500 0.8891  2 Ga 2.65, 2 Ni 2.66, 8 Pt 2.81-2.87
Ni: 0.9765 0.2500 0.6954  8 Pt 2.63-2.68, 4 Ga 2.81
Ga: 0.1731 0.2500 0.3020  8 Pt 2.62-2.70, 4 Ni 2.81
Pt: 0.7687 0.2500 0.1109  2 Ga 2.65, 2 Ni 2.66, 8 Pt 2.81-2.87
Pt: 0.0746 0.7500 0.4991  4 Ni 2.67-2.68, 4 Ga 2.68-2.70, 4 Pt 2.81
Pt: 0.2663 0.7500 0.1158  2 Ga 2.62, 2 Ni 2.63, 8 Pt 2.81-2.91
Pt: 0.3821 0.2500 0.8842  2 Ga 2.62, 2 Ni 2.63, 8 Pt 2.81-2.91
Pt: 0.5737 0.2500 0.5009  4 Ni 2.67-2.68, 4 Ga 2.68-2.70, 4 Pt 2.81

---

Record 4
Entry from Alexandria: crystalline Cu2Ag2Os at its relaxed geometry (PBE).

## Properties
energy of formation from the pure elements = 0.623 eV per atom
energy relative to the lowest polymorph listed for this composition = 0.0000 eV/atom

Lattice parameters (Å, degrees): 7.4226 7.4226 2.7080 90.00 90.00 90.00
Last column: nearest neighbours and their distance in Å.
Positions (direct):
Os: 0.5000 0.5000 0.0000  2 Os 2.71, 4 Cu 2.96
Cu: 0.8802 0.6198 0.0000  3 Cu 2.52-2.71, 6 Ag 2.52-2.63
Cu: 0.3802 0.8802 0.0000  3 Cu 2.52-2.71, 6 Ag 2.52-2.63
Os: 0.0000 0.0000 0.0000  2 Os 2.71, 4 Cu 2.96
Cu: 0.6198 0.1198 0.0000  3 Cu 2.52-2.71, 6 Ag 2.52-2.63
Ag: 0.8223 0.3223 0.5000  6 Cu 2.52-2.63, 2 Ag 2.71
Ag: 0.1777 0.6777 0.5000  6 Cu 2.52-2.63, 2 Ag 2.71
Ag: 0.6777 0.8223 0.5000  6 Cu 2.52-2.63, 2 Ag 2.71
Ag: 0.3223 0.1777 0.5000  6 Cu 2.52-2.63, 2 Ag 2.71
Cu: 0.1198 0.3802 0.0000  3 Cu 2.52-2.71, 6 Ag 2.52-2.63

---

Record 5
Entry from Alexandria: crystalline LaTiSb at its relaxed geometry (PBE).

## Properties
E_form (uncorrected) = -0.72 eV/atom

Lattice parameters (Å, degrees): 4.3210 4.3210 8.4110 90.00 90.00 90.00
Last column: nearest neighbours and their distance in Å.
Positions (direct):
Sb: 0.0000 0.5000 0.2737  4 Ti 2.88
La: 0.5000 0.0000 0.1502  5 Sb 3.23-3.57
La: 0.0000 0.5000 0.8498  5 Sb 3.23-3.57
Ti: 0.0000 0.0000 0.5000  4 Sb 2.88, 4 Ti 3.06
Sb: 0.5000 0.0000 0.7263  4 Ti 2.88
Ti: 0.5000 0.5000 0.5000  4 Sb 2.88, 4 Ti 3.06

---

Record 6
Entry from Alexandria: crystalline Tm8NiAg2 at its relaxed geometry (PBE).

## Properties
energy of formation from the pure elements = -0.141 eV per atom
energy relative to the lowest polymorph listed for this composition = 0.0254 eV/atom

Lattice parameters (Å, degrees): 5.8984 8.7005 8.7005 130.20 102.82 102.82
Last column: nearest neighbours and their distance in Å.
Positions (direct):
Tm: 0.9800 0.1996 0.8081  4 Ag 3.23-3.31, 6 Tm 3.48-3.60, 1 Ni 3.58
Ag: 0.4809 0.7262 0.2870  6 Tm 2.92-3.24
Tm: 0.9800 0.8081 0.1996  4 Ag 3.23-3.31, 6 Tm 3.48-3.60, 1 Ni 3.58
Tm: 0.1376 0.2748 0.2748  1 Ni 2.56
Tm: 0.7756 0.7309 0.7309  1 Ni 2.61
Tm: 0.6485 0.1563 0.3848  1 Ni 2.68, 1 Ag 2.92
Tm: 0.2889 0.6181 0.8417  1 Ni 2.69, 1 Ag 2.97
Tm: 0.6485 0.3848 0.1563  1 Ni 2.68, 1 Ag 2.92
Ag: 0.4809 0.2870 0.7262  6 Tm 2.92-3.24
Tm: 0.2889 0.8417 0.6181  1 Ni 2.69, 1 Ag 2.97
Ni: 0.2898 0.0065 0.0065  6 Tm 2.56-2.69

---

Record 7
Entry from Alexandria: crystalline NaU2Cu2S6 at its relaxed geometry (PBE).

## Properties
E_form (uncorrected) = -1.04 eV/atom

Lattice parameters (Å, degrees): 6.8260 7.2997 7.3299 120.88 87.96 61.04
Last column: nearest neighbours and their distance in Å.
Positions (direct):
S: 0.5863 0.2077 0.9548  1 Cu 2.29
Cu: 0.3646 0.5843 0.7076  4 S 2.29-2.42
Cu: 0.6354 0.4157 0.2924  4 S 2.29-2.42
S: 0.9204 0.4848 0.2197  1 Cu 2.34
Na: 0.5000 0.0000 0.5000  6 S 2.79-3.09
S: 0.2376 0.8209 0.5629  2 Cu 2.31-2.42
S: 0.7624 0.1791 0.4371  2 Cu 2.31-2.42
S: 0.0796 0.5152 0.7803  1 Cu 2.34
U: 0.8408 0.3349 0.8323  6 S 2.64-2.74
U: 0.1592 0.6651 0.1677  6 S 2.64-2.74
S: 0.4137 0.7923 0.0452  1 Cu 2.29

---

Record 8
Entry from Alexandria: crystalline Rb2AsI6Cl at its relaxed geometry (PBE).

## Properties
E_form (uncorrected) = -0.61 eV/atom

Lattice parameters (Å, degrees): 8.1349 8.1349 8.6777 62.05 62.05 90.00
Last column: nearest neighbours and their distance in Å.
Positions (direct):
Cl: 0.5000 0.5000 0.0000  4 I 2.95
I: 0.2211 0.2211 0.5578  1 As 2.87
I: 0.2439 0.2439 0.0000  1 As 2.81, 1 Cl 2.95
Rb: 0.2500 0.7500 0.5000  12 I 4.08-4.34
I: 0.2439 0.7561 0.0000  1 As 2.81, 1 Cl 2.95
I: 0.7789 0.7789 0.4422  1 As 2.87
Rb: 0.7500 0.2500 0.5000  12 I 4.08-4.34
I: 0.7561 0.2439 0.0000  1 As 2.81, 1 Cl 2.95
As: 0.0000 0.0000 0.0000  6 I 2.81-2.87
I: 0.7561 0.7561 0.0000  1 As 2.81, 1 Cl 2.95

---

Record 9
Entry from Alexandria: crystalline CaNiP at its relaxed geometry (PBE).

## Properties
energy of formation from the pure elements = -0.736 eV per atom

Lattice parameters (Å, degrees): 6.7959 3.9621 9.2226 90.00 102.78 90.00
Last column: nearest neighbours and their distance in Å.
Positions (direct):
Ni: 0.6090 0.5000 0.7925  3 P 2.22-2.34
Ca: 0.5000 0.0000 0.0000  2 Ni 2.63
Ca: 0.0000 0.0000 0.5000  2 Ni 2.91, 4 P 3.15
Ni: 0.6090 0.0000 0.2925  3 P 2.22-2.34
P: 0.2563 0.0000 0.2329  3 Ni 2.22-2.34
Ni: 0.3910 0.5000 0.2075  3 P 2.22-2.34
Ni: 0.3910 0.0000 0.7075  3 P 2.22-2.34
Ca: 0.0000 0.5000 0.0000  2 Ni 2.91, 4 P 3.15
P: 0.2563 0.5000 0.7329  3 Ni 2.22-2.34
P: 0.7437 0.0000 0.7671  3 Ni 2.22-2.34
Ca: 0.5000 0.5000 0.5000  2 Ni 2.63
P: 0.7437 0.5000 0.2671  3 Ni 2.22-2.34

---

Record 10
Entry from Alexandria: crystalline PIrW at its relaxed geometry (PBE).

## Properties
energy of formation from the pure elements = -0.046 eV per atom
energy relative to the lowest polymorph listed for this composition = 0.0991 eV/atom

Lattice parameters (Å, degrees): 4.1827 4.1827 2.8632 90.00 90.00 120.00
Last column: nearest neighbours and their distance in Å.
Positions (direct):
W: 0.6667 0.3333 0.5548  3 P 2.48, 3 Ir 2.77
Ir: 0.0000 0.0000 0.0802  3 P 2.55, 6 W 2.77-2.85
P: 0.3333 0.6667 0.3650  3 W 2.48, 3 Ir 2.55